(1)
Pm2Al9Ir3, optimized geometry, DFT PBE; space group = C2/c, No. 15; total magnetization = 0.000 μB per formula unit; formation energy = -19.68 kcal/mol of atoms; ρ = 7.65 g/cm3; DOS(E_F) = 0.44 states/eV per atom; crystal system = monoclinic
1.0
-2.419 -4.652 5.536
5.002 -2.479 -5.194
7.181 6.818 3.646
Pm Al Ir
4 18 6
Direct
0.336 0.248 0.750 Pm
0.664 0.752 0.250 Pm
0.998 0.586 0.750 Pm
0.002 0.414 0.250 Pm
0.461 0.920 0.748 Al
0.539 0.080 0.252 Al
0.672 0.713 0.752 Al
0.328 0.287 0.248 Al
0.452 0.644 0.927 Al
0.548 0.356 0.073 Al
0.217 0.525 0.573 Al
0.783 0.475 0.427 Al
0.878 0.128 0.750 Al
0.122 0.872 0.250 Al
0.133 0.984 0.949 Al
0.867 0.016 0.051 Al
0.535 0.184 0.551 Al
0.465 0.816 0.449 Al
0.878 0.858 0.570 Al
0.122 0.142 0.430 Al
0.787 0.308 0.930 Al
0.213 0.692 0.070 Al
0.500 0.000 0.000 Ir
0.500 0.500 0.500 Ir
0.841 0.171 0.499 Ir
0.159 0.829 0.501 Ir
0.172 0.342 0.001 Ir
0.828 0.658 0.999 Ir

(2)
Tb4As3S, optimized geometry, DFT PBE; space group = I4/mmm, No. 139; total magnetization = 0.000 μB per formula unit; ΔE_f (raw) = -1.691 eV per atom; ρ = 7.65 g/cm3; DOS(E_F) = 0.26 states/eV per atom; crystal system = tetragonal
1.0
-5.182 1.333 2.205
-2.546 -3.412 -3.920
4.261 -3.436 4.495
As Tb S
3 4 1
Direct
0.500 0.500 0.000 As
0.750 0.250 0.500 As
0.250 0.750 0.500 As
0.000 0.500 0.000 Tb
0.500 0.000 0.000 Tb
0.250 0.250 0.499 Tb
0.750 0.750 0.501 Tb
0.000 0.000 0.000 S

(3)
Cd5CuO6, optimized geometry, DFT PBE; space group = C2/m, No. 12; total magnetization = 1.042 μB per formula unit; ΔE_f (raw) = -0.871 eV per atom; ρ = 7.62 g/cm3; DOS(E_F) = 0.14 states/eV per atom; crystal system = monoclinic
1.0
-0.560 5.713 0.162
-1.028 1.577 5.423
4.434 1.250 3.515
Cd Cu O
5 1 6
Direct
0.500 0.165 0.671 Cd
0.000 0.332 0.336 Cd
0.500 0.500 0.000 Cd
0.000 0.668 0.664 Cd
0.500 0.835 0.329 Cd
0.000 0.000 0.000 Cu
0.747 0.094 0.324 O
0.253 0.582 0.324 O
0.215 0.215 0.000 O
0.785 0.785 0.000 O
0.747 0.418 0.676 O
0.253 0.906 0.676 O